Entry 1:
Material: LaPm2ErTm5
Method: DFT, PBE-GGA
State: relaxed Values from VASP.

## Properties
formation enthalpy at 0 K	264	meV/atom
V	32.3	Å³/atom

Structure (Quantum ESPRESSO input):
```
&SYSTEM
  ibrav = 0, nat = 18, ntyp = 4
/
ATOMIC_SPECIES
La 138.91 La.upf
Pm 145.00 Pm.upf
Er 167.26 Er.upf
Tm 168.93 Tm.upf
ATOMIC_POSITIONS crystal
La 0.250 0.250 0.000
La 0.750 0.750 0.000
Pm 0.116 0.616 0.732
Pm 0.384 0.116 0.500
Pm 0.616 0.884 0.500
Pm 0.884 0.384 0.268
Er 0.250 0.750 0.500
Er 0.750 0.250 0.500
Tm 0.000 0.000 0.000
Tm 0.073 0.155 0.500
Tm 0.155 0.655 0.082
Tm 0.345 0.427 0.500
Tm 0.427 0.927 0.082
Tm 0.500 0.500 0.000
Tm 0.573 0.073 0.918
Tm 0.655 0.573 0.500
Tm 0.845 0.345 0.918
Tm 0.927 0.845 0.500
CELL_PARAMETERS angstrom
-4.363 4.363 7.632
4.363 -4.363 7.632
4.363 4.363 -7.632
```

***

Entry 2:
Material: La6PmErTm2
Method: DFT, PBE-GGA
State: relaxed Values from VASP.

## Properties
formation enthalpy at 0 K	195	meV/atom
V	35.3	Å³/atom

Structure (Quantum ESPRESSO input):
```
&SYSTEM
  ibrav = 0, nat = 10, ntyp = 4
/
ATOMIC_SPECIES
La 138.91 La.upf
Pm 145.00 Pm.upf
Er 167.26 Er.upf
Tm 168.93 Tm.upf
ATOMIC_POSITIONS crystal
La 0.098 0.539 0.193
La 0.140 0.140 0.439
La 0.461 0.902 0.807
La 0.539 0.098 0.193
La 0.860 0.860 0.561
La 0.902 0.461 0.807
Pm 0.500 0.500 0.500
Er 0.000 0.000 0.000
Tm 0.411 0.411 0.839
Tm 0.589 0.589 0.161
CELL_PARAMETERS angstrom
5.677 -3.578 0.000
5.677 3.578 0.000
-2.049 0.000 8.695
```

***

Entry 3:
Material: La4Pm2ErTm
Method: DFT, PBE-GGA
State: relaxed Values from VASP.

## Properties
formation enthalpy at 0 K	17	meV/atom
V	34.6	Å³/atom

Structure (Quantum ESPRESSO input):
```
&SYSTEM
  ibrav = 0, nat = 8, ntyp = 4
/
ATOMIC_SPECIES
La 138.91 La.upf
Pm 145.00 Pm.upf
Er 167.26 Er.upf
Tm 168.93 Tm.upf
ATOMIC_POSITIONS crystal
La 0.000 0.000 0.250
La 0.000 0.000 0.750
La 0.499 0.500 0.249
La 0.501 0.500 0.751
Pm 0.000 0.500 0.500
Pm 0.500 0.000 0.000
Er 0.500 0.000 0.500
Tm 0.000 0.500 0.000
CELL_PARAMETERS angstrom
5.210 0.000 0.000
0.000 5.245 0.000
-0.007 0.000 10.125
```

***

Entry 4:
Material: La3PmEr2Tm6
Method: DFT, PBE-GGA
State: relaxed Values from VASP.

## Properties
formation enthalpy at 0 K	26	meV/atom
V	32.0	Å³/atom

Structure (Quantum ESPRESSO input):
```
&SYSTEM
  ibrav = 0, nat = 12, ntyp = 4
/
ATOMIC_SPECIES
La 138.91 La.upf
Pm 145.00 Pm.upf
Er 167.26 Er.upf
Tm 168.93 Tm.upf
ATOMIC_POSITIONS crystal
La 0.000 0.000 0.000
La 0.334 0.666 0.000
La 0.666 0.334 0.000
Pm 0.500 0.500 0.500
Er 0.167 0.833 0.500
Er 0.833 0.167 0.500
Tm 0.085 0.419 0.255
Tm 0.248 0.248 0.745
Tm 0.419 0.085 0.255
Tm 0.581 0.915 0.745
Tm 0.752 0.752 0.255
Tm 0.915 0.581 0.745
CELL_PARAMETERS angstrom
3.096 -5.361 0.000
3.096 5.361 0.000
-2.061 0.000 11.561
```

***

Entry 5:
Material: LaPm5ErTm2
Method: DFT, PBE-GGA
State: relaxed Values from VASP.

## Properties
formation enthalpy at 0 K	155	meV/atom
V	33.9	Å³/atom

Structure (Quantum ESPRESSO input):
```
&SYSTEM
  ibrav = 0, nat = 18, ntyp = 4
/
ATOMIC_SPECIES
La 138.91 La.upf
Pm 145.00 Pm.upf
Er 167.26 Er.upf
Tm 168.93 Tm.upf
ATOMIC_POSITIONS crystal
La 0.084 0.916 0.500
La 0.916 0.084 0.000
Pm 0.020 0.980 0.789
Pm 0.115 0.885 0.072
Pm 0.203 0.797 0.757
Pm 0.220 0.780 0.364
Pm 0.483 0.517 0.071
Pm 0.517 0.483 0.571
Pm 0.780 0.220 0.864
Pm 0.797 0.203 0.257
Pm 0.885 0.115 0.572
Pm 0.980 0.020 0.289
Er 0.301 0.699 0.061
Er 0.699 0.301 0.561
Tm 0.385 0.615 0.367
Tm 0.386 0.614 0.783
Tm 0.614 0.386 0.283
Tm 0.615 0.385 0.867
CELL_PARAMETERS angstrom
2.844 -10.097 0.000
2.844 10.097 0.000
0.000 0.000 10.621
```

***

Entry 6:
Material: La2PmEr4Tm
Method: DFT, PBE-GGA
State: relaxed Values from VASP.

## Properties
formation enthalpy at 0 K	30	meV/atom
V	32.6	Å³/atom

Structure (Quantum ESPRESSO input):
```
&SYSTEM
  ibrav = 0, nat = 16, ntyp = 4
/
ATOMIC_SPECIES
La 138.91 La.upf
Pm 145.00 Pm.upf
Er 167.26 Er.upf
Tm 168.93 Tm.upf
ATOMIC_POSITIONS crystal
La 0.000 0.000 0.000
La 0.000 0.000 0.500
La 0.000 0.500 0.000
La 0.500 0.000 0.000
Pm 0.500 0.000 0.500
Pm 0.500 0.500 0.000
Er 0.252 0.255 0.254
Er 0.252 0.255 0.745
Er 0.252 0.745 0.254
Er 0.252 0.745 0.745
Er 0.748 0.255 0.255
Er 0.748 0.255 0.746
Er 0.748 0.745 0.255
Er 0.748 0.745 0.746
Tm 0.000 0.500 0.500
Tm 0.500 0.500 0.500
CELL_PARAMETERS angstrom
7.217 0.000 0.000
0.000 9.981 0.000
-0.005 0.000 7.231
```

***

Entry 7:
Material: LaPmErTm
Method: DFT, PBE-GGA
State: relaxed Values from VASP.

## Properties
formation enthalpy at 0 K	100	meV/atom
V	33.4	Å³/atom
polymorph energy (0 for the lowest one)	10	meV/atom

Structure (Quantum ESPRESSO input):
```
&SYSTEM
  ibrav = 0, nat = 8, ntyp = 4
/
ATOMIC_SPECIES
La 138.91 La.upf
Pm 145.00 Pm.upf
Er 167.26 Er.upf
Tm 168.93 Tm.upf
ATOMIC_POSITIONS crystal
La 0.000 0.000 0.000
La 0.500 0.500 0.000
Pm 0.230 0.500 0.197
Pm 0.730 0.000 0.197
Er 0.254 0.000 0.727
Er 0.754 0.500 0.727
Tm 0.487 0.000 0.471
Tm 0.987 0.500 0.471
CELL_PARAMETERS angstrom
12.446 0.000 0.000
0.000 5.859 0.000
-1.168 0.000 3.666
```

***

Entry 8:
Material: La2Pm3Er6Tm
Method: DFT, PBE-GGA
State: relaxed Values from VASP.

## Properties
formation enthalpy at 0 K	18	meV/atom
V	32.3	Å³/atom

Structure (Quantum ESPRESSO input):
```
&SYSTEM
  ibrav = 0, nat = 12, ntyp = 4
/
ATOMIC_SPECIES
La 138.91 La.upf
Pm 145.00 Pm.upf
Er 167.26 Er.upf
Tm 168.93 Tm.upf
ATOMIC_POSITIONS crystal
La 0.166 0.834 0.000
La 0.834 0.166 0.000
Pm 0.000 0.000 0.500
Pm 0.333 0.667 0.500
Pm 0.667 0.333 0.500
Er 0.084 0.416 0.749
Er 0.252 0.252 0.251
Er 0.416 0.084 0.749
Er 0.584 0.916 0.251
Er 0.748 0.748 0.749
Er 0.916 0.584 0.251
Tm 0.500 0.500 0.000
CELL_PARAMETERS angstrom
3.107 -5.380 0.000
3.107 5.380 0.000
-2.064 0.000 11.609
```

***

Entry 9:
Material: LaPmEr5Tm2
Method: DFT, PBE-GGA
State: relaxed Values from VASP.

## Properties
formation enthalpy at 0 K	165	meV/atom
V	32.4	Å³/atom

Structure (Quantum ESPRESSO input):
```
&SYSTEM
  ibrav = 0, nat = 18, ntyp = 4
/
ATOMIC_SPECIES
La 138.91 La.upf
Pm 145.00 Pm.upf
Er 167.26 Er.upf
Tm 168.93 Tm.upf
ATOMIC_POSITIONS crystal
La 0.207 0.793 0.500
La 0.793 0.207 0.000
Pm 0.418 0.582 0.947
Pm 0.582 0.418 0.447
Er 0.019 0.981 0.525
Er 0.286 0.714 0.794
Er 0.297 0.703 0.198
Er 0.396 0.604 0.519
Er 0.477 0.523 0.230
Er 0.523 0.477 0.730
Er 0.604 0.396 0.019
Er 0.703 0.297 0.698
Er 0.714 0.286 0.294
Er 0.981 0.019 0.025
Tm 0.106 0.894 0.233
Tm 0.114 0.886 0.814
Tm 0.886 0.114 0.314
Tm 0.894 0.106 0.733
CELL_PARAMETERS angstrom
2.787 -9.730 0.000
2.787 9.730 0.000
0.000 0.000 10.766
```

***

Entry 10:
Material: LaPm6ErTm2
Method: DFT, PBE-GGA
State: relaxed Values from VASP.

## Properties
formation enthalpy at 0 K	117	meV/atom
V	33.9	Å³/atom

Structure (Quantum ESPRESSO input):
```
&SYSTEM
  ibrav = 0, nat = 20, ntyp = 4
/
ATOMIC_SPECIES
La 138.91 La.upf
Pm 145.00 Pm.upf
Er 167.26 Er.upf
Tm 168.93 Tm.upf
ATOMIC_POSITIONS crystal
La 0.095 0.905 0.750
La 0.905 0.095 0.250
Pm 0.009 0.795 0.379
Pm 0.067 0.520 0.181
Pm 0.205 0.991 0.121
Pm 0.260 0.610 0.555
Pm 0.390 0.740 0.945
Pm 0.480 0.933 0.319
Pm 0.520 0.067 0.681
Pm 0.610 0.260 0.055
Pm 0.740 0.390 0.445
Pm 0.795 0.009 0.879
Pm 0.933 0.480 0.819
Pm 0.991 0.205 0.621
Er 0.470 0.530 0.250
Er 0.530 0.470 0.750
Tm 0.209 0.306 0.953
Tm 0.306 0.209 0.453
Tm 0.694 0.791 0.547
Tm 0.791 0.694 0.047
CELL_PARAMETERS angstrom
4.630 -7.601 0.000
4.630 7.601 0.000
-1.359 0.000 9.623
```

***

Entry 11:
Material: La5PmEr2Tm
Method: DFT, PBE-GGA
State: relaxed Values from VASP.

## Properties
formation enthalpy at 0 K	128	meV/atom
V	35.3	Å³/atom

Structure (Quantum ESPRESSO input):
```
&SYSTEM
  ibrav = 0, nat = 18, ntyp = 4
/
ATOMIC_SPECIES
La 138.91 La.upf
Pm 145.00 Pm.upf
Er 167.26 Er.upf
Tm 168.93 Tm.upf
ATOMIC_POSITIONS crystal
La 0.000 0.000 0.000
La 0.000 0.000 0.500
La 0.123 0.877 0.750
La 0.220 0.780 0.059
La 0.221 0.779 0.439
La 0.498 0.502 0.750
La 0.502 0.498 0.250
La 0.779 0.221 0.939
La 0.780 0.220 0.559
La 0.877 0.123 0.250
Pm 0.288 0.712 0.749
Pm 0.712 0.288 0.249
Er 0.387 0.613 0.000
Er 0.388 0.612 0.500
Er 0.612 0.388 0.000
Er 0.613 0.387 0.500
Tm 0.100 0.900 0.250
Tm 0.900 0.100 0.750
CELL_PARAMETERS angstrom
2.751 -10.813 0.000
2.751 10.813 0.000
0.000 0.000 10.690
```

***

Entry 12:
Material: La2Pm6Er3Tm
Method: DFT, PBE-GGA
State: relaxed Values from VASP.

## Properties
formation enthalpy at 0 K	21	meV/atom
V	33.5	Å³/atom

Structure (Quantum ESPRESSO input):
```
&SYSTEM
  ibrav = 0, nat = 12, ntyp = 4
/
ATOMIC_SPECIES
La 138.91 La.upf
Pm 145.00 Pm.upf
Er 167.26 Er.upf
Tm 168.93 Tm.upf
ATOMIC_POSITIONS crystal
La 0.167 0.833 0.000
La 0.833 0.167 0.000
Pm 0.084 0.415 0.745
Pm 0.253 0.253 0.255
Pm 0.415 0.084 0.745
Pm 0.585 0.916 0.255
Pm 0.747 0.747 0.745
Pm 0.916 0.585 0.255
Er 0.000 0.000 0.500
Er 0.334 0.666 0.500
Er 0.666 0.334 0.500
Tm 0.500 0.500 0.000
CELL_PARAMETERS angstrom
3.137 -5.435 0.000
3.137 5.435 0.000
-2.097 0.000 11.782
```